The following is a SCAN calculation of a PBEsol-optimized structure of Y2AlNi, from Alexandria via LeMat-Bulk.

Structure (CIF):
```
data_Y2AlNi
_chemical_formula_sum 'Y2 Al1 Ni1'
_cell_length_a 3.414
_cell_length_b 3.414
_cell_length_c 7.082
_cell_angle_alpha 90.00
_cell_angle_beta 90.00
_cell_angle_gamma 90.00
_symmetry_space_group_name_H-M 'P 4/m m m'
_symmetry_Int_Tables_number 123
_symmetry_space_group_name_Hall '-P 4 2'
loop_
_atom_site_label
_atom_site_fract_x
_atom_site_fract_y
_atom_site_fract_z
Y1 0.000 0.000 0.226
Al1 0.500 0.500 0.500
Ni1 0.500 0.500 0.000
```

The following is a SCAN calculation of a PBEsol-optimized structure of ZrTa2Fe, from Alexandria via LeMat-Bulk.

Structure (CIF):
```
data_ZrTa2Fe
_chemical_formula_sum 'Zr4 Ta8 Fe4'
_cell_length_a 6.357
_cell_length_b 6.357
_cell_length_c 6.357
_cell_angle_alpha 90.00
_cell_angle_beta 90.00
_cell_angle_gamma 90.00
_symmetry_space_group_name_H-M 'F m -3 m'
_symmetry_Int_Tables_number 225
_symmetry_space_group_name_Hall '-F 4 2 3'
loop_
_atom_site_label
_atom_site_fract_x
_atom_site_fract_y
_atom_site_fract_z
Zr1 0.000 0.000 0.000
Ta1 0.250 0.250 0.250
Fe1 0.000 0.000 0.500
```

Calculated calculated density in order - 5.30 13.16 g/cm3
Calculated DFT formation energy in order - -39 27 kJ/mol of atoms